Material: Cs2Al2Sn
Method: DFT, PBE-GGA
State: optimized geometry

a b c (Å): 3.8096 3.8096 13.3825
angles (deg): 81.82 81.82 90.00
Closest atoms and distances in Å follow each position.
Fractional coordinates of all 5 atoms:
Cs (0.3885, 0.3885, 0.2230)  4 Cs 3.81, 4 Sn 3.98, 4 Al 4.10
Cs (0.6115, 0.6115, 0.7770)  4 Cs 3.81, 4 Sn 3.98, 4 Al 4.10
Sn (0.0000, 0.0000, 0.0000)  4 Sn 3.81, 8 Cs 3.98
Al (0.7500, 0.2500, 0.5000)  4 Al 2.69
Al (0.2500, 0.7500, 0.5000)  4 Al 2.69

Summary:
DFT total energy, eV per atom: -2.390